1.
Here is an optimized crystal structure of Pu2Pa3Pd3 from the Alexandria database. Energies are from GGA-PBE.

Summary:
Its density of states at the Fermi level is 25.01 states/eV/cell. Its formation energy is -0.23 eV/atom. The value obtained for the calculated volume is 362.1 Å³ per cell. Its space group is Cmcm (63).

Cell lengths 3.5488, 6.3134, 16.8399 Å; angles 90.00, 90.00, 106.32 degrees
With the nearest neighbours (Å) after each atom.
Element x y z (fractional)
1 Pa 0.9527 0.9054 0.1206  4 Pd 2.83-2.85, 2 Pu 2.96
2 Pa 0.9527 0.9054 0.3794  4 Pd 2.83-2.85, 2 Pu 2.96
3 Pa 0.0473 0.0946 0.6206  4 Pd 2.83-2.85, 2 Pu 2.96
4 Pa 0.6781 0.3563 0.2500  4 Pu 3.19, 3 Pd 3.22-3.34, 2 Pa 3.55
5 Pa 0.3219 0.6437 0.7500  4 Pu 3.19, 3 Pd 3.22-3.34, 2 Pa 3.55
6 Pa 0.0473 0.0946 0.8794  4 Pd 2.83-2.85, 2 Pu 2.96
7 Pd 0.4121 0.8241 0.2500  4 Pa 2.85, 2 Pu 3.09
8 Pd 0.5986 0.1972 0.0424  1 Pd 2.78, 3 Pu 2.82-3.01, 2 Pa 2.83
9 Pd 0.4014 0.8028 0.5424  1 Pd 2.78, 3 Pu 2.82-3.01, 2 Pa 2.83
10 Pd 0.5986 0.1972 0.4576  1 Pd 2.78, 3 Pu 2.82-3.01, 2 Pa 2.83
11 Pd 0.4014 0.8028 0.9576  1 Pd 2.78, 3 Pu 2.82-3.01, 2 Pa 2.83
12 Pd 0.5879 0.1759 0.7500  4 Pa 2.85, 2 Pu 3.09
13 Pu 0.2583 0.5165 0.1038  4 Pd 2.82-3.09, 2 Pa 2.96
14 Pu 0.7417 0.4835 0.8962  4 Pd 2.82-3.09, 2 Pa 2.96
15 Pu 0.2583 0.5165 0.3962  4 Pd 2.82-3.09, 2 Pa 2.96
16 Pu 0.7417 0.4835 0.6038  4 Pd 2.82-3.09, 2 Pa 2.96

=====

2.
Here is an optimized crystal structure of Sr3MgFe from the Alexandria database. Energies are from GGA-PBE.

Summary:
Its density of states at the Fermi level is 31.83 states/eV/cell. Its formation energy is 0.92 eV/atom. The value obtained for the calculated volume is 248.1 Å³ per cell. Its space group is Pm-3m (221).

Cell lengths 6.2834, 6.2834, 6.2834 Å; angles 90.00, 90.00, 90.00 degrees
With the nearest neighbours (Å) after each atom.
Element x y z (fractional)
1 Sr 0.5000 0.0000 0.0000  2 Mg 3.14
2 Sr 0.0000 0.0000 0.5000  2 Mg 3.14
3 Sr 0.0000 0.5000 0.0000  2 Mg 3.14
4 Fe 0.5000 0.5000 0.5000  12 Sr 4.44
5 Mg 0.0000 0.0000 0.0000  6 Sr 3.14

=====

3.
Here is an optimized crystal structure of Pm6CoRh2Cl3 from the Alexandria database. Energies are from GGA-PBE.

Summary:
Its density of states at the Fermi level is 3.20 states/eV/cell. The value obtained for the calculated volume is 315.7 Å³ per cell. Its space group is C2/m (12). The calculation puts the raw total energy at -5.723 eV per atom.

Cell lengths 6.9677, 6.9677, 7.8594 Å; angles 98.43, 98.43, 120.07 degrees
With the nearest neighbours (Å) after each atom.
Element x y z (fractional)
1 Rh 0.6671 0.3329 0.0000  6 Pm 2.81
2 Rh 0.3329 0.6671 0.0000  6 Pm 2.81
3 Co 0.0000 0.0000 0.0000  6 Pm 2.71-2.72
4 Pm 0.7442 0.7442 0.2027  1 Co 2.72, 2 Rh 2.81
5 Pm 0.2558 0.2558 0.7973  1 Co 2.72, 2 Rh 2.81
6 Pm 0.6104 0.9328 0.7973  1 Co 2.71, 2 Rh 2.81
7 Pm 0.0672 0.3896 0.2027  1 Co 2.71, 2 Rh 2.81
8 Pm 0.3896 0.0672 0.2027  1 Co 2.71, 2 Rh 2.81
9 Pm 0.9328 0.6104 0.7973  1 Co 2.71, 2 Rh 2.81
10 Cl 0.5000 0.5000 0.5000  6 Pm 3.20-3.27
11 Cl 0.8383 0.1617 0.5000  6 Pm 3.16-3.32
12 Cl 0.1617 0.8383 0.5000  6 Pm 3.16-3.32

=====

4.
Here is an optimized crystal structure of Ag6SeBr3Cl2 from the Alexandria database. Energies are from GGA-PBE.

Summary:
Its density of states at the Fermi level is 8.15 states/eV/cell. The value obtained for the calculated volume is 279.1 Å³ per cell. Its space group is C2/m (12). The calculation puts the raw total energy at -2.703 eV per atom.

Cell lengths 7.0058, 7.0058, 7.0258 Å; angles 100.71, 100.71, 119.47 degrees
With the nearest neighbours (Å) after each atom.
Element x y z (fractional)
1 Se 0.0000 0.0000 0.0000  6 Ag 2.70-2.74
2 Ag 0.2362 0.2362 0.7657  1 Se 2.74, 2 Cl 2.82, 2 Br 2.93
3 Ag 0.9218 0.5994 0.7679  1 Se 2.70, 2 Cl 2.81-2.87, 3 Br 2.86-2.96
4 Ag 0.4006 0.0782 0.2321  1 Se 2.70, 2 Cl 2.81-2.87, 3 Br 2.86-2.96
5 Ag 0.0782 0.4006 0.2321  1 Se 2.70, 2 Cl 2.81-2.87, 3 Br 2.86-2.96
6 Ag 0.5994 0.9218 0.7679  1 Se 2.70, 2 Cl 2.81-2.87, 3 Br 2.86-2.96
7 Ag 0.7638 0.7638 0.2343  1 Se 2.74, 2 Cl 2.82, 2 Br 2.93
8 Cl 0.6656 0.3344 0.0000  6 Ag 2.81-2.87
9 Cl 0.3344 0.6656 0.0000  6 Ag 2.81-2.87
10 Br 0.5000 0.5000 0.5000  6 Ag 2.86-3.09
11 Br 0.8224 0.1776 0.5000  6 Ag 2.86-2.96
12 Br 0.1776 0.8224 0.5000  6 Ag 2.86-2.96

=====

5.
Here is an optimized crystal structure of VAsWBr2 from the Alexandria database. Energies are from GGA-PBE.

Summary:
Its density of states at the Fermi level is 11.50 states/eV/cell. The value obtained for the calculated volume is 129.0 Å³ per cell. Its space group is P4/mmm (123). The calculation puts the raw total energy at -4.779 eV per atom.

Cell lengths 5.1322, 5.1322, 4.8969 Å; angles 90.00, 90.00, 90.00 degrees
With the nearest neighbours (Å) after each atom.
Element x y z (fractional)
1 Br 0.5000 0.0000 0.0000  2 W 2.57
2 Br 0.0000 0.5000 0.0000  2 W 2.57
3 As 0.0000 0.0000 0.5000  2 W 2.45
4 W 0.0000 0.0000 0.0000  2 As 2.45, 4 Br 2.57
5 V 0.5000 0.5000 0.5000  8 Br 3.55, 4 As 3.63

=====

6.
Here is an optimized crystal structure of Zr2FeOs from the Alexandria database. Energies are from GGA-PBE.

Summary:
Its density of states at the Fermi level is 5.73 states/eV/cell. Its formation energy is -0.02 eV/atom. The value obtained for the calculated volume is 67.9 Å³ per cell. Its space group is F-43m (216).

Cell lengths 4.5796, 4.5796, 4.5796 Å; angles 60.00, 60.00, 60.00 degrees
With the nearest neighbours (Å) after each atom.
Element x y z (fractional)
1 Os 0.7500 0.7500 0.7500  4 Zr 2.80, 4 Fe 2.80
2 Zr 0.2500 0.2500 0.2500  4 Fe 2.80, 4 Zr 2.80
3 Zr 0.0000 0.0000 0.0000  4 Os 2.80, 4 Zr 2.80
4 Fe 0.5000 0.5000 0.5000  4 Zr 2.80, 4 Os 2.80

=====

7.
Here is an optimized crystal structure of Ti3HgAu from the Alexandria database. Energies are from GGA-PBE.

Summary:
Its density of states at the Fermi level is 6.63 states/eV/cell. Its formation energy is 1.10 eV/atom. The value obtained for the calculated volume is 124.0 Å³ per cell. Its space group is Pm-3m (221).

Cell lengths 4.9862, 4.9862, 4.9862 Å; angles 90.00, 90.00, 90.00 degrees
With the nearest neighbours (Å) after each atom.
Element x y z (fractional)
1 Au 0.5000 0.5000 0.5000  12 Ti 3.53
2 Ti 0.0000 0.0000 0.5000  2 Hg 2.49
3 Ti 0.5000 0.0000 0.0000  2 Hg 2.49
4 Ti 0.0000 0.5000 0.0000  2 Hg 2.49
5 Hg 0.0000 0.0000 0.0000  6 Ti 2.49

=====

8.
Here is an optimized crystal structure of ZnAuCl2 from the Alexandria database. Energies are from GGA-PBE.

Summary:
Its density of states at the Fermi level is 1.27 states/eV/cell. The value obtained for the calculated volume is 90.9 Å³ per cell. Its space group is C2/m (12). The calculation puts the raw total energy at -2.150 eV per atom.

Cell lengths 4.9921, 4.9548, 4.9354 Å; angles 64.45, 82.39, 115.97 degrees
With the nearest neighbours (Å) after each atom.
Element x y z (fractional)
1 Cl 0.0000 0.0000 0.0000  2 Au 2.64, 2 Zn 2.64
2 Cl 0.5000 0.0000 0.5000  2 Zn 2.64, 2 Au 2.64
3 Au 0.5000 0.5000 0.0000  4 Cl 2.64
4 Zn 0.0000 0.5000 0.5000  4 Cl 2.64

=====

Q: Look up the calculated volume of the eighth one.
A: 90.9 Å³ per cell

=====

Q: Number 2 is which compound?
A: Sr3MgFe